The following is a PBE calculation of HfInBrO2 after structural relaxation, from Alexandria via LeMat-Bulk.

Cell lengths 4.181, 5.559, 4.181 Å; angles 90.00, 90.00, 90.00 degrees
Element x y z (fractional)
Hf1 0.000 0.000 0.000
O1 0.000 0.000 0.500
O2 0.500 0.000 0.000
In1 0.500 0.500 0.500
Br1 0.000 0.500 0.000

## Properties
- Volume: 97 Å³/cell
- Uncorrected formation energy: -172.1 kJ per mole of atoms
- Space group: No. 123
- Electronic total energy: -6.640 eV/atom
- Spin magnetization: 0.00 μB/f.u.